Record 1
## Tb6PmY2Er (PBE)

Data for Tb6PmY2Er after structural relaxation.

Computed properties:
Energy of formation from the pure elements ... 0.13 eV per atom
Mass density ... 7.34 g/cm³
Electronic total energy ... -97.5 eV/cell
Size of the total moment ... 0.0 μB/f.u.
Symmetry ... No. 15

Cell lengths 8.7995, 8.7995, 9.5970 Å; angles 93.95, 93.95, 117.55 degrees
Last column: nearest neighbours and their distance in Å.
Fractional positions:
Tb (0.0223, 0.5719, 0.1846)  1 Tb 3.20, 1 Y 3.41, 1 Pm 3.49, 1 Er 3.54
Tb (0.1196, 0.7523, 0.5565)  7 Tb 3.40-3.74, 1 Y 3.47, 1 Er 3.66
Tb (0.2477, 0.8804, 0.9435)  7 Tb 3.40-3.74, 1 Y 3.47, 1 Er 3.66
Tb (0.2924, 0.5071, 0.3796)  4 Tb 3.20-3.57, 3 Y 3.28-3.45, 2 Pm 3.43-3.56
Tb (0.4281, 0.9777, 0.3154)  1 Tb 3.20, 1 Y 3.41, 1 Pm 3.49, 1 Er 3.54
Tb (0.4929, 0.7076, 0.1204)  4 Tb 3.20-3.57, 3 Y 3.28-3.45, 2 Pm 3.43-3.56
Tb (0.5071, 0.2924, 0.8796)  4 Tb 3.20-3.57, 3 Y 3.28-3.45, 2 Pm 3.43-3.56
Tb (0.5719, 0.0223, 0.6846)  1 Tb 3.20, 1 Y 3.41, 1 Pm 3.49, 1 Er 3.54
Tb (0.7076, 0.4929, 0.6204)  4 Tb 3.20-3.57, 3 Y 3.28-3.45, 2 Pm 3.43-3.56
Tb (0.7523, 0.1196, 0.0565)  7 Tb 3.40-3.74, 1 Y 3.47, 1 Er 3.66
Tb (0.8804, 0.2477, 0.4435)  7 Tb 3.40-3.74, 1 Y 3.47, 1 Er 3.66
Tb (0.9777, 0.4281, 0.8154)  1 Tb 3.20, 1 Y 3.41, 1 Pm 3.49, 1 Er 3.54
Pm (0.4071, 0.5929, 0.7500)  6 Tb 3.43-3.56, 2 Y 3.57
Pm (0.5929, 0.4071, 0.2500)  6 Tb 3.43-3.56, 2 Y 3.57
Y (0.1941, 0.2953, 0.0443)  6 Tb 3.28-3.64, 2 Er 3.37-3.38, 1 Pm 3.57
Y (0.2953, 0.1941, 0.5443)  6 Tb 3.28-3.64, 2 Er 3.37-3.38, 1 Pm 3.57
Y (0.7047, 0.8059, 0.4557)  6 Tb 3.28-3.64, 2 Er 3.37-3.38, 1 Pm 3.57
Y (0.8059, 0.7047, 0.9557)  6 Tb 3.28-3.64, 2 Er 3.37-3.38, 1 Pm 3.57
Er (0.0257, 0.9743, 0.2500)  4 Y 3.37-3.38, 4 Tb 3.54-3.66
Er (0.9743, 0.0257, 0.7500)  4 Y 3.37-3.38, 4 Tb 3.54-3.66

***

Record 2
## SrTi3Mo (PBE)

Data for SrTi3Mo after structural relaxation.

Computed properties:
Energy of formation from the pure elements ... 2.13 eV per atom
Mass density ... 5.46 g/cm³
ΔE to the lowest computed polymorph ... 1.558 eV/atom
Electronic total energy ... -25.5 eV/cell
Size of the total moment ... 0.0 μB/f.u.
Symmetry ... No. 221

Cell lengths 4.6339, 4.6339, 4.6339 Å; angles 90.00, 90.00, 90.00 degrees
Last column: nearest neighbours and their distance in Å.
Fractional positions:
Sr (0.0000, 0.0000, 0.0000)  6 Ti 2.32
Ti (0.0000, 0.0000, 0.5000)  2 Sr 2.32
Ti (0.0000, 0.5000, 0.0000)  2 Sr 2.32
Ti (0.5000, 0.0000, 0.0000)  2 Sr 2.32
Mo (0.5000, 0.5000, 0.5000)  12 Ti 3.28

***

Record 3
## Na2MnBiCl6 (PBE)

Data for Na2MnBiCl6 after structural relaxation.

Computed properties:
Formation energy from raw total energies ... -1.202 eV per atom
Mass density ... 3.11 g/cm³
Electronic total energy ... -38.8 eV/cell
Size of the total moment ... 6.0 μB/f.u.
Symmetry ... No. 1

Cell lengths 6.7330, 7.2469, 7.2928 Å; angles 64.98, 89.43, 62.62 degrees
Last column: nearest neighbours and their distance in Å.
Fractional positions:
Na (0.0000, 0.0000, 0.0000)  5 Cl 2.79-2.96
Na (0.4864, 0.0251, 0.4696)  5 Cl 2.71-2.88
Mn (0.7865, 0.4273, 0.3995)  5 Cl 2.40-2.67
Bi (0.2862, 0.4350, 0.8889)  4 Cl 2.70-2.84
Cl (0.0566, 0.2569, 0.1810)  1 Mn 2.63, 1 Bi 2.84, 2 Na 2.84-2.88
Cl (0.1790, 0.2522, 0.6729)  1 Bi 2.73, 1 Mn 2.73, 2 Na 2.84-2.96
Cl (0.4060, 0.5493, 0.1743)  1 Mn 2.61, 1 Bi 2.79, 1 Na 2.85
Cl (0.5611, 0.5669, 0.6617)  1 Mn 2.67, 1 Bi 2.70, 1 Na 2.79
Cl (0.7406, 0.8141, 0.2259)  1 Mn 2.40
Cl (0.8394, 0.0398, 0.6244)  1 Mn 2.43, 1 Na 2.71

***

Record 4
## Cs2MgIn10 (PBE)

Data for Cs2MgIn10 after structural relaxation.

Computed properties:
Energy of formation from the pure elements ... -0.01 eV per atom
Mass density ... 4.84 g/cm³
Electronic total energy ... -61.5 eV/cell
Size of the total moment ... 0.0 μB/f.u.
Symmetry ... No. 55

Cell lengths 8.6202, 16.3239, 7.0204 Å; angles 90.00, 90.00, 90.00 degrees
Last column: nearest neighbours and their distance in Å.
Fractional positions:
Cs (0.2378, 0.1682, 0.0000)  14 In 4.13-4.60
Cs (0.2622, 0.6682, 0.0000)  14 In 4.13-4.60
Cs (0.7378, 0.3318, 0.0000)  14 In 4.13-4.60
Cs (0.7622, 0.8318, 0.0000)  14 In 4.13-4.60
Mg (0.0000, 0.5000, 0.5000)  8 In 2.96-3.02
Mg (0.5000, 0.0000, 0.5000)  8 In 2.96-3.02
In (0.0478, 0.3201, 0.5000)  4 In 2.84-3.16, 1 Mg 2.97
In (0.0868, 0.8389, 0.5000)  5 In 2.84-3.16
In (0.1648, 0.0403, 0.5000)  4 In 2.93-3.13, 1 Mg 2.96
In (0.2066, 0.4234, 0.2023)  4 In 2.84-3.07, 1 Mg 3.02
In (0.2066, 0.4234, 0.7977)  4 In 2.84-3.07, 1 Mg 3.02
In (0.2934, 0.9234, 0.2023)  4 In 2.84-3.07, 1 Mg 3.02
In (0.2934, 0.9234, 0.7977)  4 In 2.84-3.07, 1 Mg 3.02
In (0.3352, 0.5403, 0.5000)  4 In 2.93-3.13, 1 Mg 2.96
In (0.4132, 0.3389, 0.5000)  5 In 2.84-3.16
In (0.4522, 0.8201, 0.5000)  4 In 2.84-3.16, 1 Mg 2.97
In (0.5478, 0.1799, 0.5000)  4 In 2.84-3.16, 1 Mg 2.97
In (0.5868, 0.6611, 0.5000)  5 In 2.84-3.16
In (0.6648, 0.4597, 0.5000)  4 In 2.93-3.13, 1 Mg 2.96
In (0.7066, 0.0766, 0.2023)  4 In 2.84-3.07, 1 Mg 3.02
In (0.7066, 0.0766, 0.7977)  4 In 2.84-3.07, 1 Mg 3.02
In (0.7934, 0.5766, 0.2023)  4 In 2.84-3.07, 1 Mg 3.02
In (0.7934, 0.5766, 0.7977)  4 In 2.84-3.07, 1 Mg 3.02
In (0.8352, 0.9597, 0.5000)  4 In 2.93-3.13, 1 Mg 2.96
In (0.9132, 0.1611, 0.5000)  5 In 2.84-3.16
In (0.9522, 0.6799, 0.5000)  4 In 2.84-3.16, 1 Mg 2.97

***

Record 5
## La3P4Pt2 (PBE)

Data for La3P4Pt2 after structural relaxation.

Computed properties:
Energy of formation from the pure elements ... -1.26 eV per atom
Mass density ... 8.17 g/cm³
Electronic total energy ... -59.8 eV/cell
Size of the total moment ... 0.0 μB/f.u.
Symmetry ... No. 12

Cell lengths 5.8811, 5.8811, 8.1120 Å; angles 96.87, 96.87, 42.81 degrees
Last column: nearest neighbours and their distance in Å.
Fractional positions:
La (0.0000, 0.0000, 0.0000)  8 P 3.08-3.26, 4 Pt 3.25
La (0.3342, 0.3342, 0.3275)  8 P 3.04-3.27, 4 Pt 3.09-3.24
La (0.6658, 0.6658, 0.6725)  8 P 3.04-3.27, 4 Pt 3.09-3.24
P (0.0604, 0.0604, 0.3924)  1 P 2.32, 2 Pt 2.42
P (0.2740, 0.2740, 0.9506)  2 P 2.37, 1 Pt 2.40
P (0.7260, 0.7260, 0.0494)  2 P 2.37, 1 Pt 2.40
P (0.9396, 0.9396, 0.6076)  1 P 2.32, 2 Pt 2.42
Pt (0.3898, 0.3898, 0.7192)  3 P 2.40-2.42
Pt (0.6102, 0.6102, 0.2808)  3 P 2.40-2.42

***

Record 6
## BaHoIn (PBE)

Data for BaHoIn after structural relaxation.

Computed properties:
Energy of formation from the pure elements ... -0.26 eV per atom
Mass density ... 6.14 g/cm³
ΔE to the lowest computed polymorph ... 0.056 eV/atom
Electronic total energy ... -40.1 eV/cell
Size of the total moment ... 0.5 μB/f.u.
Symmetry ... No. 139

Cell lengths 3.9836, 3.9836, 28.4354 Å; angles 90.00, 90.00, 90.00 degrees
Last column: nearest neighbours and their distance in Å.
Fractional positions:
Ba (0.0000, 0.0000, 0.0751)  4 In 3.69, 1 Ho 3.94, 4 Ba 3.98
Ba (0.0000, 0.0000, 0.9249)  4 In 3.69, 1 Ho 3.94, 4 Ba 3.98
Ba (0.5000, 0.5000, 0.4249)  4 In 3.69, 1 Ho 3.94, 4 Ba 3.98
Ba (0.5000, 0.5000, 0.5751)  4 In 3.69, 1 Ho 3.94, 4 Ba 3.98
Ho (0.0000, 0.0000, 0.2135)  4 In 3.22, 4 Ho 3.50
Ho (0.0000, 0.0000, 0.7865)  4 In 3.22, 4 Ho 3.50
Ho (0.5000, 0.5000, 0.2865)  4 In 3.22, 4 Ho 3.50
Ho (0.5000, 0.5000, 0.7135)  4 In 3.22, 4 Ho 3.50
In (0.0000, 0.0000, 0.3413)  4 Ho 3.22
In (0.0000, 0.0000, 0.6587)  4 Ho 3.22
In (0.5000, 0.5000, 0.1587)  4 Ho 3.22
In (0.5000, 0.5000, 0.8413)  4 Ho 3.22